[1]
Computed, not measured: RbY2AlPd after structural relaxation at the GGA-PBE level of DFT.

Results
* ΔH_f (0 K): 153.9 kJ/mol of atoms
* crystal system: tetragonal
* space-group type: No. 123
* E_tot: -2.972 eV per atom
* polymorph energy (0 for the lowest one): 1.318 eV/atom

a = 5.3583 Å, b = 5.1264 Å, c = 5.3583 Å
α = 90.00°, β = 90.00°, γ = 90.00°
With the nearest neighbours (Å) after each atom.
Fractional positions:
Y: 0.0000 0.0000 0.5000  2 Rb 2.68
Y: 0.5000 0.0000 0.0000  2 Rb 2.68
Rb: 0.0000 0.0000 0.0000  2 Al 2.56, 4 Y 2.68
Pd: 0.5000 0.5000 0.5000  8 Y 3.71, 4 Al 3.79
Al: 0.0000 0.5000 0.0000  2 Rb 2.56

[2]
Computed, not measured: AlRe3Pd after structural relaxation at the GGA-PBE level of DFT.

Results
* ΔH_f (0 K): 242.5 kJ/mol of atoms
* crystal system: cubic
* space-group type: No. 221
* E_tot: -6.743 eV per atom
* polymorph energy (0 for the lowest one): 0.724 eV/atom

a = 4.6808 Å, b = 4.6808 Å, c = 4.6808 Å
α = 90.00°, β = 90.00°, γ = 90.00°
With the nearest neighbours (Å) after each atom.
Fractional positions:
Re: 0.0000 0.5000 0.0000  2 Pd 2.34
Re: 0.0000 0.0000 0.5000  2 Pd 2.34
Re: 0.5000 0.0000 0.0000  2 Pd 2.34
Al: 0.5000 0.5000 0.5000  12 Re 3.31
Pd: 0.0000 0.0000 0.0000  6 Re 2.34

[3]
Computed, not measured: Al3RePd after structural relaxation at the GGA-PBE level of DFT.

Results
* ΔH_f (0 K): 43.1 kJ/mol of atoms
* crystal system: cubic
* space-group type: No. 221
* E_tot: -5.327 eV per atom
* polymorph energy (0 for the lowest one): 0.000 eV/atom

a = 4.7128 Å, b = 4.7128 Å, c = 4.7128 Å
α = 90.00°, β = 90.00°, γ = 90.00°
With the nearest neighbours (Å) after each atom.
Fractional positions:
Re: 0.0000 0.0000 0.0000  6 Al 2.36
Al: 0.0000 0.5000 0.0000  2 Re 2.36
Al: 0.0000 0.0000 0.5000  2 Re 2.36
Al: 0.5000 0.0000 0.0000  2 Re 2.36
Pd: 0.5000 0.5000 0.5000  12 Al 3.33

- Number 3 is which compound?
  Al3RePd

- Which of these has the highest polymorph energy (0 for the lowest one)?
  RbY2AlPd